# LaCr2Br | the Alexandria database | PBE | relaxed
data_LaCr2Br
_chemical_formula_sum 'La1 Cr2 Br1'
_space_group_name_H-M_alt 'P 4/m m m'
_space_group_IT_number 123
_space_group_name_Hall '-P 4 2'
_cell_length_a 3.764
_cell_length_b 3.764
_cell_length_c 5.990
_cell_angle_alpha 90.00
_cell_angle_beta 90.00
_cell_angle_gamma 90.00
loop_
_atom_site_label
_atom_site_fract_x
_atom_site_fract_y
_atom_site_fract_z
_atom_site_occupancy
La1 0.000 0.000 0.000 1
Cr1 0.500 0.500 0.341 1
Br1 0.000 0.000 0.500 1
# formation energy (no corrections) = 0.7638 eV/atom
# D(E_F) = 3.58 states/eV/f.u.
# polymorph energy (0 for the lowest one) = 750.2 meV/atom



# AlCdNi2 | the Alexandria database | PBE | relaxed
data_AlCdNi2
_chemical_formula_sum 'Al3 Cd3 Ni6'
_space_group_name_H-M_alt 'R -3 m'
_space_group_IT_number 166
_space_group_name_Hall '-R 3 2"'
_cell_length_a 2.8191
_cell_length_b 2.8191
_cell_length_c 24.7518
_cell_angle_alpha 90.00
_cell_angle_beta 90.00
_cell_angle_gamma 120.00
loop_
_atom_site_label
_atom_site_fract_x
_atom_site_fract_y
_atom_site_fract_z
_atom_site_occupancy
Al1 0.0000 0.0000 0.0000 1
Cd1 0.0000 0.0000 0.5000 1
Ni1 0.0000 0.0000 0.2590 1
# D(E_F) = 3.62 states/eV/f.u.
# formation energy = -0.1342 eV/atom



# Dy2ThMg | the Alexandria database | PBE | relaxed
data_Dy2ThMg
_chemical_formula_sum 'Dy4 Th2 Mg2'
_space_group_name_H-M_alt 'C 1 m 1'
_space_group_IT_number 8
_cell_length_a 6.126
_cell_length_b 3.531
_cell_length_c 11.389
_cell_angle_alpha 90.00
_cell_angle_beta 100.44
_cell_angle_gamma 90.00
loop_
_space_group_symop_operation_xyz
'x,y,z'
'x,-y,z'
'x+1/2,y+1/2,z'
'x+1/2,-y+1/2,z'
loop_
_atom_site_label
_atom_site_fract_x
_atom_site_fract_y
_atom_site_fract_z
_atom_site_occupancy
Dy1 0.000 0.000 0.000 1
Dy2 0.166 0.000 0.499 1
Th1 0.083 0.500 0.750 1
Mg1 0.416 0.000 0.250 1
# D(E_F) = 5.35 states/eV/f.u.
# formation energy = 0.0261 eV/atom
# polymorph energy (0 for the lowest one) = 70.3 meV/atom



# PmPrCuAs | the Alexandria database | PBE | relaxed
data_PmPrCuAs
_chemical_formula_sum 'Pm4 Pr4 Cu4 As4'
_space_group_name_H-M_alt 'F -4 3 m'
_space_group_IT_number 216
_space_group_name_Hall 'F -4 2 3'
_cell_length_a 7.251
_cell_length_b 7.251
_cell_length_c 7.251
_cell_angle_alpha 90.00
_cell_angle_beta 90.00
_cell_angle_gamma 90.00
loop_
_atom_site_label
_atom_site_fract_x
_atom_site_fract_y
_atom_site_fract_z
_atom_site_occupancy
Pm1 0.000 0.000 0.000 1
Pr1 0.000 0.000 0.500 1
Cu1 0.250 0.250 0.750 1
As1 0.250 0.250 0.250 1
# D(E_F) = 3.73 states/eV/f.u.
# formation energy = -0.5998 eV/atom



# SrLaAs2Pt2 | the Alexandria database | PBE | relaxed
data_SrLaAs2Pt2
_chemical_formula_sum 'Sr1 La1 As2 Pt2'
_space_group_name_H-M_alt 'P -3 m 1'
_space_group_IT_number 164
_space_group_name_Hall '-P 3 2"'
_cell_length_a 4.3489
_cell_length_b 4.3489
_cell_length_c 8.6124
_cell_angle_alpha 90.00
_cell_angle_beta 90.00
_cell_angle_gamma 120.00
loop_
_atom_site_label
_atom_site_fract_x
_atom_site_fract_y
_atom_site_fract_z
_atom_site_occupancy
Sr1 0.0000 0.0000 0.0000 1
La1 0.0000 0.0000 0.5000 1
As1 0.3333 0.6667 0.7375 1
Pt1 0.3333 0.6667 0.2571 1
# D(E_F) = 3.67 states/eV/f.u.
# formation energy = -1.1878 eV/atom



# In2RuBr | the Alexandria database | PBE | relaxed
data_In2RuBr
_chemical_formula_sum 'In4 Ru2 Br2'
_space_group_name_H-M_alt 'I -4 m 2'
_space_group_IT_number 119
_space_group_name_Hall 'I -4 -2'
_cell_length_a 4.358
_cell_length_b 4.358
_cell_length_c 8.959
_cell_angle_alpha 90.00
_cell_angle_beta 90.00
_cell_angle_gamma 90.00
loop_
_atom_site_label
_atom_site_fract_x
_atom_site_fract_y
_atom_site_fract_z
_atom_site_occupancy
In1 0.000 0.000 0.000 1
In2 0.000 0.500 0.250 1
Ru1 0.000 0.500 0.750 1
Br1 0.000 0.000 0.500 1
# formation energy (no corrections) = 0.5248 eV/atom
# D(E_F) = 2.50 states/eV/f.u.
# polymorph energy (0 for the lowest one) = 612.3 meV/atom



# BaMg2Cr | the Alexandria database | PBE | relaxed
data_BaMg2Cr
_chemical_formula_sum 'Ba2 Mg4 Cr2'
_space_group_name_H-M_alt 'C 1 m 1'
_space_group_IT_number 8
_cell_length_a 10.133
_cell_length_b 3.527
_cell_length_c 6.803
_cell_angle_alpha 90.00
_cell_angle_beta 99.56
_cell_angle_gamma 90.00
loop_
_space_group_symop_operation_xyz
'x,y,z'
'x,-y,z'
'x+1/2,y+1/2,z'
'x+1/2,-y+1/2,z'
loop_
_atom_site_label
_atom_site_fract_x
_atom_site_fract_y
_atom_site_fract_z
_atom_site_occupancy
Ba1 0.000 0.000 0.000 1
Mg1 0.008 0.500 0.527 1
Mg2 0.265 0.500 0.346 1
Cr1 0.240 0.000 0.680 1
# D(E_F) = 3.03 states/eV/f.u.
# formation energy = 0.4363 eV/atom
# polymorph energy (0 for the lowest one) = 103.8 meV/atom



# SnMoSe2 | the Alexandria database | PBE | relaxed
data_SnMoSe2
_chemical_formula_sum 'Sn3 Mo3 Se6'
_space_group_name_H-M_alt 'R -3 m'
_space_group_IT_number 166
_space_group_name_Hall '-R 3 2"'
_cell_length_a 3.6147
_cell_length_b 3.6147
_cell_length_c 25.9693
_cell_angle_alpha 90.00
_cell_angle_beta 90.00
_cell_angle_gamma 120.00
loop_
_atom_site_label
_atom_site_fract_x
_atom_site_fract_y
_atom_site_fract_z
_atom_site_occupancy
Sn1 0.0000 0.0000 0.0000 1
Mo1 0.0000 0.0000 0.5000 1
Se1 0.0000 0.0000 0.4081 1
# formation energy (no corrections) = 0.5423 eV/atom
# D(E_F) = 3.28 states/eV/f.u.



# Ca4TaCl | the Alexandria database | PBE | relaxed
data_Ca4TaCl
_chemical_formula_sum 'Ca16 Ta4 Cl4'
_space_group_name_H-M_alt 'F -4 3 m'
_space_group_IT_number 216
_space_group_name_Hall 'F -4 2 3'
_cell_length_a 9.403
_cell_length_b 9.403
_cell_length_c 9.403
_cell_angle_alpha 90.00
_cell_angle_beta 90.00
_cell_angle_gamma 90.00
loop_
_atom_site_label
_atom_site_fract_x
_atom_site_fract_y
_atom_site_fract_z
_atom_site_occupancy
Ca1 0.124 0.124 0.376 1
Ta1 0.250 0.250 0.750 1
Cl1 0.000 0.000 0.000 1
# formation energy (no corrections) = 0.7487 eV/atom
# D(E_F) = 6.69 states/eV/f.u.



# Pa2AgSn | the Alexandria database | PBE | relaxed
data_Pa2AgSn
_chemical_formula_sum 'Pa2 Ag1 Sn1'
_space_group_name_H-M_alt 'P 4/m m m'
_space_group_IT_number 123
_space_group_name_Hall '-P 4 2'
_cell_length_a 4.305
_cell_length_b 4.305
_cell_length_c 4.993
_cell_angle_alpha 90.00
_cell_angle_beta 90.00
_cell_angle_gamma 90.00
loop_
_atom_site_label
_atom_site_fract_x
_atom_site_fract_y
_atom_site_fract_z
_atom_site_occupancy
Pa1 0.000 0.500 0.000 1
Ag1 0.000 0.000 0.500 1
Sn1 0.500 0.500 0.500 1
# D(E_F) = 6.72 states/eV/f.u.
# formation energy = -0.0413 eV/atom
# polymorph energy (0 for the lowest one) = 0.0 meV/atom



# Tl3Hg3Te | the Alexandria database | PBE | relaxed
data_Tl3Hg3Te
_chemical_formula_sum 'Tl6 Hg6 Te2'
_space_group_name_H-M_alt 'P m -3 n'
_space_group_IT_number 223
_space_group_name_Hall '-P 4n 2 3'
_cell_length_a 8.479
_cell_length_b 8.479
_cell_length_c 8.479
_cell_angle_alpha 90.00
_cell_angle_beta 90.00
_cell_angle_gamma 90.00
loop_
_atom_site_label
_atom_site_fract_x
_atom_site_fract_y
_atom_site_fract_z
_atom_site_occupancy
Tl1 0.000 0.250 0.500 1
Hg1 0.000 0.500 0.250 1
Te1 0.000 0.000 0.000 1
# formation energy (no corrections) = 0.2921 eV/atom
# D(E_F) = 2.63 states/eV/f.u.
# polymorph energy (0 for the lowest one) = 374.6 meV/atom



# TbCe3Zn8 | the Alexandria database | PBE | relaxed
data_TbCe3Zn8
_chemical_formula_sum 'Tb1 Ce3 Zn8'
_space_group_name_H-M_alt 'P 3 m 1'
_space_group_IT_number 156
_cell_length_a 5.6228
_cell_length_b 5.6228
_cell_length_c 8.5459
_cell_angle_alpha 90.00
_cell_angle_beta 90.00
_cell_angle_gamma 120.00
loop_
_space_group_symop_operation_xyz
'x,y,z'
'-y,x-y,z'
'-x+y,-x,z'
'-y,-x,z'
'-x+y,y,z'
'x,x-y,z'
loop_
_atom_site_label
_atom_site_fract_x
_atom_site_fract_y
_atom_site_fract_z
_atom_site_occupancy
Tb1 0.0000 0.0000 0.0000 1
Ce1 0.0000 0.0000 0.3756 1
Ce2 0.6667 0.3333 0.5116 1
Ce3 0.6667 0.3333 0.8495 1
Zn1 0.1668 0.3335 0.6864 1
Zn2 0.3333 0.6667 0.4316 1
Zn3 0.3333 0.6667 0.9352 1
Zn4 0.5036 0.0073 0.1816 1
# D(E_F) = 16.47 states/eV/f.u.
# formation energy = -0.2775 eV/atom
# polymorph energy (0 for the lowest one) = 7.2 meV/atom



# Ta4PBr | the Alexandria database | PBE | relaxed
data_Ta4PBr
_chemical_formula_sum 'Ta16 P4 Br4'
_space_group_name_H-M_alt 'F -4 3 m'
_space_group_IT_number 216
_space_group_name_Hall 'F -4 2 3'
_cell_length_a 7.824
_cell_length_b 7.824
_cell_length_c 7.824
_cell_angle_alpha 90.00
_cell_angle_beta 90.00
_cell_angle_gamma 90.00
loop_
_atom_site_label
_atom_site_fract_x
_atom_site_fract_y
_atom_site_fract_z
_atom_site_occupancy
Ta1 0.125 0.125 0.125 1
P1 0.000 0.000 0.500 1
Br1 0.250 0.250 0.750 1
# formation energy (no corrections) = 0.9515 eV/atom
# D(E_F) = 5.22 states/eV/f.u.



# Ac3Pr2Tl7 | the Alexandria database | PBE | relaxed
data_Ac3Pr2Tl7
_chemical_formula_sum 'Ac6 Pr4 Tl14'
_space_group_name_H-M_alt 'C m m m'
_space_group_IT_number 65
_space_group_name_Hall '-C 2 2'
_cell_length_a 5.525
_cell_length_b 25.089
_cell_length_c 6.039
_cell_angle_alpha 90.00
_cell_angle_beta 90.00
_cell_angle_gamma 90.00
loop_
_atom_site_label
_atom_site_fract_x
_atom_site_fract_y
_atom_site_fract_z
_atom_site_occupancy
Ac1 0.000 0.000 0.000 1
Ac2 0.000 0.169 0.000 1
Pr1 0.000 0.359 0.500 1
Tl1 0.000 0.073 0.500 1
Tl2 0.000 0.227 0.500 1
Tl3 0.000 0.415 0.000 1
Tl4 0.000 0.500 0.500 1
# D(E_F) = 10.58 states/eV/f.u.
# formation energy = -0.1785 eV/atom



# Tb5Pa3Sb8 | the Alexandria database | PBE | relaxed
data_Tb5Pa3Sb8
_chemical_formula_sum 'Tb15 Pa9 Sb24'
_space_group_name_H-M_alt 'R -3 m'
_space_group_IT_number 166
_space_group_name_Hall '-R 3 2"'
_cell_length_a 8.7676
_cell_length_b 8.7676
_cell_length_c 21.5637
_cell_angle_alpha 90.00
_cell_angle_beta 90.00
_cell_angle_gamma 120.00
loop_
_atom_site_label
_atom_site_fract_x
_atom_site_fract_y
_atom_site_fract_z
_atom_site_occupancy
Tb1 0.0000 0.0000 0.0000 1
Tb2 0.0000 0.0000 0.5000 1
Tb3 0.0000 0.5000 0.0000 1
Pa1 0.0000 0.5000 0.5000 1
Sb1 0.0000 0.0000 0.2502 1
Sb2 0.0006 0.5003 0.7503 1
# formation energy (no corrections) = -0.8750 eV/atom
# D(E_F) = 19.72 states/eV/f.u.



# TcPW2 | the Alexandria database | PBE | relaxed
data_TcPW2
_chemical_formula_sum 'Tc1 P1 W2'
_space_group_name_H-M_alt 'P 4/m m m'
_space_group_IT_number 123
_space_group_name_Hall '-P 4 2'
_cell_length_a 3.692
_cell_length_b 3.692
_cell_length_c 4.347
_cell_angle_alpha 90.00
_cell_angle_beta 90.00
_cell_angle_gamma 90.00
loop_
_atom_site_label
_atom_site_fract_x
_atom_site_fract_y
_atom_site_fract_z
_atom_site_occupancy
Tc1 0.000 0.000 0.000 1
P1 0.500 0.500 0.000 1
W1 0.000 0.500 0.500 1
# D(E_F) = 3.05 states/eV/f.u.
# formation energy = 0.3479 eV/atom



# RbUAs | the Alexandria database | PBE | relaxed
data_RbUAs
_chemical_formula_sum 'Rb4 U4 As4'
_space_group_name_H-M_alt 'C 1 2/m 1'
_space_group_IT_number 12
_cell_length_a 12.549
_cell_length_b 4.036
_cell_length_c 8.669
_cell_angle_alpha 90.00
_cell_angle_beta 105.11
_cell_angle_gamma 90.00
loop_
_space_group_symop_operation_xyz
'x,y,z'
'-x,-y,-z'
'-x,y,-z'
'x,-y,z'
'x+1/2,y+1/2,z'
'-x+1/2,-y+1/2,-z'
'-x+1/2,y+1/2,-z'
'x+1/2,-y+1/2,z'
loop_
_atom_site_label
_atom_site_fract_x
_atom_site_fract_y
_atom_site_fract_z
_atom_site_occupancy
Rb1 0.104 0.000 0.379 1
U1 0.187 0.000 0.965 1
As1 0.145 0.500 0.733 1
# D(E_F) = 4.65 states/eV/f.u.
# formation energy = -0.0579 eV/atom



# La2Ti3AgO9 | the Alexandria database | PBE | relaxed
data_La2Ti3AgO9
_chemical_formula_sum 'La2 Ti3 Ag1 O9'
_space_group_name_H-M_alt 'P -3 m 1'
_space_group_IT_number 164
_space_group_name_Hall '-P 3 2"'
_cell_length_a 5.5660
_cell_length_b 5.5660
_cell_length_c 6.7964
_cell_angle_alpha 90.00
_cell_angle_beta 90.00
_cell_angle_gamma 120.00
loop_
_atom_site_label
_atom_site_fract_x
_atom_site_fract_y
_atom_site_fract_z
_atom_site_occupancy
La1 0.3333 0.6667 0.1730 1
Ti1 0.0000 0.0000 0.0000 1
Ti2 0.3333 0.6667 0.6626 1
Ag1 0.0000 0.0000 0.5000 1
O1 0.0000 0.5000 0.5000 1
O2 0.1718 0.3436 0.8443 1
# formation energy (no corrections) = -2.8880 eV/atom
# D(E_F) = 3.96 states/eV/f.u.



# AcP2Pd | the Alexandria database | PBE | relaxed
data_AcP2Pd
_chemical_formula_sum 'Ac3 P6 Pd3'
_space_group_name_H-M_alt 'R -3 m'
_space_group_IT_number 166
_space_group_name_Hall '-R 3 2"'
_cell_length_a 4.2562
_cell_length_b 4.2562
_cell_length_c 15.9212
_cell_angle_alpha 90.00
_cell_angle_beta 90.00
_cell_angle_gamma 120.00
loop_
_atom_site_label
_atom_site_fract_x
_atom_site_fract_y
_atom_site_fract_z
_atom_site_occupancy
Ac1 0.0000 0.0000 0.0000 1
P1 0.0000 0.0000 0.2141 1
Pd1 0.0000 0.0000 0.5000 1
# D(E_F) = 2.36 states/eV/f.u.
# formation energy = -0.7615 eV/atom
# polymorph energy (0 for the lowest one) = 208.6 meV/atom



# PrErMgIr | the Alexandria database | PBE | relaxed
data_PrErMgIr
_chemical_formula_sum 'Pr4 Er4 Mg4 Ir4'
_space_group_name_H-M_alt 'F -4 3 m'
_space_group_IT_number 216
_space_group_name_Hall 'F -4 2 3'
_cell_length_a 7.228
_cell_length_b 7.228
_cell_length_c 7.228
_cell_angle_alpha 90.00
_cell_angle_beta 90.00
_cell_angle_gamma 90.00
loop_
_atom_site_label
_atom_site_fract_x
_atom_site_fract_y
_atom_site_fract_z
_atom_site_occupancy
Pr1 0.000 0.000 0.000 1
Er1 0.000 0.000 0.500 1
Mg1 0.250 0.250 0.250 1
Ir1 0.250 0.250 0.750 1
# D(E_F) = 2.64 states/eV/f.u.
# formation energy = -0.3638 eV/atom